1.
This record from Alexandria via LeMat-Bulk describes crystalline HfBiF3 at its relaxed geometry. The functional is GGA-PBE.

- density of states at the Fermi level (states/eV per cell) = 2.9
- excess energy over the best structure of this formula in the dataset (eV/atom) = 0.000
- raw total energy (eV per atom) = -5.845
- theoretical density (g cm⁻³) = 8.821

POSCAR file:
```
HfBiF3
1.0
4.374 0.000 0.000
0.000 4.374 0.000
0.000 0.000 4.374
Hf Bi F
1 1 3
direct
0.000 0.000 0.000
0.500 0.500 0.500
0.000 0.000 0.500
0.000 0.500 0.000
0.500 0.000 0.000
```

***

2.
This record from Alexandria via LeMat-Bulk describes crystalline Ba2ReAs at its relaxed geometry. The functional is GGA-PBE.

- density of states at the Fermi level (states/eV per cell) = 4.2
- raw total energy (eV per atom) = -5.096
- theoretical density (g cm⁻³) = 6.908
- energy of formation from the pure elements (meV per atom) = 140

POSCAR file:
```
Ba2ReAs
1.0
-2.090 2.540 6.067
2.090 -2.540 6.067
2.090 2.540 -6.067
Ba Re As
2 1 1
direct
0.000 0.000 0.000
0.720 0.220 0.500
0.405 0.405 0.000
0.305 0.805 0.500
```

***

3.
This record from Alexandria via LeMat-Bulk describes crystalline TlSiAu3 at its relaxed geometry. The functional is GGA-PBE.

- density of states at the Fermi level (states/eV per cell) = 9.3
- excess energy over the best structure of this formula in the dataset (eV/atom) = 0.025
- raw total energy (eV per atom) = -3.488
- theoretical density (g cm⁻³) = 13.040

POSCAR file:
```
TlSiAu3
1.0
8.456 0.000 0.000
0.000 3.923 0.000
0.000 0.000 12.641
Tl Si Au
4 4 12
direct
0.177 0.250 0.005
0.323 0.750 0.505
0.677 0.250 0.495
0.823 0.750 0.995
0.079 0.250 0.320
0.421 0.750 0.820
0.579 0.250 0.180
0.921 0.750 0.680
0.033 0.250 0.582
0.130 0.750 0.820
0.153 0.750 0.192
0.347 0.250 0.692
0.370 0.250 0.320
0.467 0.750 0.082
0.533 0.250 0.918
0.630 0.750 0.680
0.653 0.750 0.308
0.847 0.250 0.808
0.870 0.250 0.180
0.967 0.750 0.418
```